First-principles (GGA+U) data for LiVSi3O8 after structural relaxation, as listed in Alexandria via LeMat-Bulk.

Computed properties:
Final energy   -7.5685 eV/atom
Mass density   2.68 Mg/m³

Lattice parameters (Å, degrees): 7.1735 7.4342 7.7099 115.63 110.63 94.23
Last column: nearest neighbours and their distance in Å.
Space group P-1 (No. 2)
Inequivalent atoms, fractional coordinates:
Li1 0.1869 0.3283 0.2508  4 O 1.99-2.16
V1 0.1911 0.8495 0.1535  4 O 1.92-1.96
Si1 0.2661 0.1889 0.8227  4 O 1.62-1.64
Si2 0.2805 0.5770 0.7770  4 O 1.62-1.66
Si3 0.3809 0.7882 0.5545  4 O 1.62-1.67
O1 0.0982 0.1667 0.9126  1 Si 1.62
O2 0.1136 0.6884 0.8479  1 Si 1.62
O3 0.2240 0.3334 0.7096  2 Si 1.63-1.64
O4 0.2661 0.9660 0.6453  2 Si 1.63-1.64
O5 0.2938 0.5833 0.5697  2 Si 1.66-1.67
O6 0.3061 0.7042 0.3016  1 Si 1.62
O7 0.3678 0.1296 0.3060  1 Si 1.64
O8 0.4958 0.2927 0.0200  2 Si 1.63